Entry 1:
LiIr: relaxed, GGA-PBEsol.

a b c (Å): 9.884 2.646 6.423
angles (deg): 90.00 103.20 90.00
Space group Cm (No. 8)
Inequivalent atoms, fractional coordinates:
Li: 0.000 0.000 0.000
Li: 0.038 0.000 0.642
Li: 0.399 0.000 0.293
Ir: 0.175 0.500 0.341
Ir: 0.233 0.500 0.978
Ir: 0.299 0.000 0.674

## Properties
- calculated formation energy (eV per atom) = -0.09
- uncorrected energy (eV/atom) = -5.990

---

Entry 2:
LiIr3: relaxed, GGA-PBEsol.

a b c (Å): 5.300 7.695 2.645
angles (deg): 90.00 90.00 90.00
Space group Cmmm (No. 65)
Inequivalent atoms, fractional coordinates:
Li: 0.000 0.000 0.000
Ir: 0.000 0.500 0.000
Ir: 0.250 0.250 0.500

## Properties
- calculated formation energy (eV per atom) = -0.05
- uncorrected energy (eV/atom) = -7.908